1.
Here is a relaxed CeNdThPa crystal from Alexandria. Energies are from PBE.

```
data_CeNdThPa
_space_group_name_H-M_alt 'F -4 3 m'
_space_group_IT_number 216
_space_group_name_Hall 'F -4 2 3'
_cell_length_a 7.799
_cell_length_b 7.799
_cell_length_c 7.799
_cell_angle_alpha 90.00
_cell_angle_beta 90.00
_cell_angle_gamma 90.00
loop_
_atom_site_label
_atom_site_fract_x
_atom_site_fract_y
_atom_site_fract_z
Ce1 0.000 0.000 0.000
Nd1 0.250 0.250 0.750
Th1 0.000 0.000 0.500
Pa1 0.250 0.250 0.250
```

## Properties
**Calculated density**: 10.5 g cm⁻³
**Magnetic moment**: 0.1620 μB per atom
**E**: -6.557 eV per atom



2.
Here is a relaxed CeNdTmPa crystal from Alexandria. Energies are from PBE.

```
data_CeNdTmPa
_space_group_name_H-M_alt 'F -4 3 m'
_space_group_IT_number 216
_space_group_name_Hall 'F -4 2 3'
_cell_length_a 7.842
_cell_length_b 7.842
_cell_length_c 7.842
_cell_angle_alpha 90.00
_cell_angle_beta 90.00
_cell_angle_gamma 90.00
loop_
_atom_site_label
_atom_site_fract_x
_atom_site_fract_y
_atom_site_fract_z
Ce1 0.000 0.000 0.000
Nd1 0.000 0.000 0.500
Tm1 0.250 0.250 0.250
Pa1 0.250 0.250 0.750
```

## Properties
**Calculated density**: 9.4 g cm⁻³
**Magnetic moment**: 0.9796 μB per atom
**E**: -5.778 eV per atom



3.
Here is a relaxed CeNd2Pb crystal from Alexandria. Energies are from PBE.

```
data_CeNd2Pb
_space_group_name_H-M_alt 'P 4/m m m'
_space_group_IT_number 123
_space_group_name_Hall '-P 4 2'
_cell_length_a 5.033
_cell_length_b 5.033
_cell_length_c 4.782
_cell_angle_alpha 90.00
_cell_angle_beta 90.00
_cell_angle_gamma 90.00
loop_
_atom_site_label
_atom_site_fract_x
_atom_site_fract_y
_atom_site_fract_z
Ce1 0.000 0.000 0.000
Nd1 0.000 0.500 0.500
Pb1 0.500 0.500 0.000
```

## Properties
**Energy above the lowest structure with this stoichiometry**: 0 meV/atom
**Calculated density**: 8.7 g cm⁻³
**Magnetic moment**: 0.1882 μB per atom



4.
Here is a relaxed Ce2NdPb2 crystal from Alexandria. Energies are from PBE.

```
data_Ce2NdPb2
_space_group_name_H-M_alt 'C 1 2/m 1'
_space_group_IT_number 12
_space_group_name_Hall '-C 2y'
_cell_length_a 6.212
_cell_length_b 6.293
_cell_length_c 8.293
_cell_angle_alpha 90.00
_cell_angle_beta 110.93
_cell_angle_gamma 90.00
loop_
_atom_site_label
_atom_site_fract_x
_atom_site_fract_y
_atom_site_fract_z
Ce1 0.000 0.222 0.000
Nd1 0.000 0.000 0.500
Pb1 0.080 0.500 0.693
```

## Properties
**Energy above the lowest structure with this stoichiometry**: 0 meV/atom
**Calculated density**: 9.2 g cm⁻³
**Magnetic moment**: 0.2006 μB per atom



5.
Here is a relaxed Ce2Nd3Pb4 crystal from Alexandria. Energies are from PBE.

```
data_Ce2Nd3Pb4
_space_group_name_H-M_alt 'C 1 2/m 1'
_space_group_IT_number 12
_space_group_name_Hall '-C 2y'
_cell_length_a 17.252
_cell_length_b 5.051
_cell_length_c 6.917
_cell_angle_alpha 90.00
_cell_angle_beta 103.96
_cell_angle_gamma 90.00
loop_
_atom_site_label
_atom_site_fract_x
_atom_site_fract_y
_atom_site_fract_z
Ce1 0.165 0.000 0.084
Nd1 0.000 0.500 0.000
Nd2 0.113 0.500 0.577
Pb1 0.005 0.000 0.285
Pb2 0.245 0.000 0.687
```

## Properties
**Calculated density**: 8.8 g cm⁻³
**Magnetic moment**: 0.2494 μB per atom
**E**: -4.955 eV per atom



6.
Here is a relaxed Ce2Nd2Pb7 crystal from Alexandria. Energies are from PBE.

```
data_Ce2Nd2Pb7
_space_group_name_H-M_alt 'C m m m'
_space_group_IT_number 65
_space_group_name_Hall '-C 2 2'
_cell_length_a 9.496
_cell_length_b 11.282
_cell_length_c 7.326
_cell_angle_alpha 90.00
_cell_angle_beta 90.00
_cell_angle_gamma 90.00
loop_
_atom_site_label
_atom_site_fract_x
_atom_site_fract_y
_atom_site_fract_z
Ce1 0.000 0.218 0.000
Nd1 0.189 0.500 0.500
Pb1 0.000 0.000 0.293
Pb2 0.000 0.500 0.000
Pb3 0.250 0.250 0.288
```

## Properties
**Calculated density**: 8.5 g cm⁻³
**Magnetic moment**: 0.1520 μB per atom
**E**: -4.334 eV per atom



7.
Here is a relaxed Ce2NdPb crystal from Alexandria. Energies are from PBE.

```
data_Ce2NdPb
_space_group_name_H-M_alt 'P 4/m m m'
_space_group_IT_number 123
_space_group_name_Hall '-P 4 2'
_cell_length_a 4.779
_cell_length_b 4.779
_cell_length_c 5.122
_cell_angle_alpha 90.00
_cell_angle_beta 90.00
_cell_angle_gamma 90.00
loop_
_atom_site_label
_atom_site_fract_x
_atom_site_fract_y
_atom_site_fract_z
Ce1 0.000 0.500 0.000
Nd1 0.000 0.000 0.500
Pb1 0.500 0.500 0.500
```

## Properties
**Energy above the lowest structure with this stoichiometry**: 35 meV/atom
**Calculated density**: 9.0 g cm⁻³
**Magnetic moment**: 0.4804 μB per atom



8.
Here is a relaxed Ce3NdPb5 crystal from Alexandria. Energies are from PBE.

```
data_Ce3NdPb5
_space_group_name_H-M_alt 'P 63/m c m'
_space_group_IT_number 193
_space_group_name_Hall '-P 6c 2'
_cell_length_a 9.7063
_cell_length_b 9.7063
_cell_length_c 6.6764
_cell_angle_alpha 90.00
_cell_angle_beta 90.00
_cell_angle_gamma 120.00
loop_
_atom_site_label
_atom_site_fract_x
_atom_site_fract_y
_atom_site_fract_z
Ce1 0.0000 0.3809 0.2500
Nd1 0.0000 0.0000 0.0000
Pb1 0.0000 0.2903 0.7500
Pb2 0.3333 0.6667 0.0000
```

## Properties
**Calculated density**: 9.8 g cm⁻³
**Magnetic moment**: 0.2596 μB per atom
**E**: -4.974 eV per atom



9.
Here is a relaxed CeNd2Pb crystal from Alexandria. Energies are from PBE.

```
data_CeNd2Pb
_space_group_name_H-M_alt 'R 3 m'
_space_group_IT_number 160
_space_group_name_Hall 'R 3 -2"'
_cell_length_a 3.6303
_cell_length_b 3.6303
_cell_length_c 33.8912
_cell_angle_alpha 90.00
_cell_angle_beta 90.00
_cell_angle_gamma 120.00
loop_
_atom_site_label
_atom_site_fract_x
_atom_site_fract_y
_atom_site_fract_z
Ce1 0.0000 0.0000 0.0000
Nd1 0.0000 0.0000 0.5812
Nd2 0.0000 0.0000 0.7528
Pb1 0.0000 0.0000 0.1667
```

## Properties
**Energy above the lowest structure with this stoichiometry**: 193 meV/atom
**Calculated density**: 8.2 g cm⁻³
**Magnetic moment**: 0.2131 μB per atom



10.
Here is a relaxed CeNd2Pb crystal from Alexandria. Energies are from PBE.

```
data_CeNd2Pb
_space_group_name_H-M_alt 'P 4/m m m'
_space_group_IT_number 123
_space_group_name_Hall '-P 4 2'
_cell_length_a 4.189
_cell_length_b 4.189
_cell_length_c 7.099
_cell_angle_alpha 90.00
_cell_angle_beta 90.00
_cell_angle_gamma 90.00
loop_
_atom_site_label
_atom_site_fract_x
_atom_site_fract_y
_atom_site_fract_z
Ce1 0.000 0.000 0.000
Nd1 0.500 0.500 0.269
Pb1 0.000 0.000 0.500
```

## Properties
**Energy above the lowest structure with this stoichiometry**: 95 meV/atom
**Calculated density**: 8.5 g cm⁻³
**Magnetic moment**: 0.3815 μB per atom



11.
Here is a relaxed CeNd3Pb2 crystal from Alexandria. Energies are from PBE.

```
data_CeNd3Pb2
_space_group_name_H-M_alt 'P -4 m 2'
_space_group_IT_number 115
_space_group_name_Hall 'P -4 -2'
_cell_length_a 4.650
_cell_length_b 4.650
_cell_length_c 8.958
_cell_angle_alpha 90.00
_cell_angle_beta 90.00
_cell_angle_gamma 90.00
loop_
_atom_site_label
_atom_site_fract_x
_atom_site_fract_y
_atom_site_fract_z
Ce1 0.000 0.000 0.000
Nd1 0.000 0.500 0.350
Nd2 0.500 0.500 0.000
Pb1 0.000 0.500 0.720
```

## Properties
**Energy above the lowest structure with this stoichiometry**: 0 meV/atom
**Calculated density**: 8.5 g cm⁻³
**Magnetic moment**: 0.0996 μB per atom



12.
Here is a relaxed CeNd3Pb2 crystal from Alexandria. Energies are from PBE.

```
data_CeNd3Pb2
_space_group_name_H-M_alt 'I b a m'
_space_group_IT_number 72
_space_group_name_Hall '-I 2 2c'
_cell_length_a 7.725
_cell_length_b 14.942
_cell_length_c 7.769
_cell_angle_alpha 90.00
_cell_angle_beta 90.00
_cell_angle_gamma 90.00
loop_
_atom_site_label
_atom_site_fract_x
_atom_site_fract_y
_atom_site_fract_z
Ce1 0.000 0.000 0.000
Nd1 0.000 0.210 0.250
Nd2 0.000 0.500 0.250
Pb1 0.185 0.357 0.000
```

## Properties
**Energy above the lowest structure with this stoichiometry**: 264 meV/atom
**Calculated density**: 7.3 g cm⁻³
**Magnetic moment**: 0.3966 μB per atom



13.
Here is a relaxed CeNd4Pb5 crystal from Alexandria. Energies are from PBE.

```
data_CeNd4Pb5
_space_group_name_H-M_alt 'P 4/m m m'
_space_group_IT_number 123
_space_group_name_Hall '-P 4 2'
_cell_length_a 4.202
_cell_length_b 4.202
_cell_length_c 17.247
_cell_angle_alpha 90.00
_cell_angle_beta 90.00
_cell_angle_gamma 90.00
loop_
_atom_site_label
_atom_site_fract_x
_atom_site_fract_y
_atom_site_fract_z
Ce1 0.000 0.000 0.000
Nd1 0.000 0.000 0.197
Nd2 0.000 0.000 0.400
Pb1 0.500 0.500 0.099
Pb2 0.500 0.500 0.300
Pb3 0.500 0.500 0.500
```

## Properties
**Calculated density**: 9.6 g cm⁻³
**Magnetic moment**: 0.1485 μB per atom
**E**: -4.826 eV per atom



14.
Here is a relaxed CeNd2Pb crystal from Alexandria. Energies are from PBE.

```
data_CeNd2Pb
_space_group_name_H-M_alt 'R -3 m'
_space_group_IT_number 166
_space_group_name_Hall '-R 3 2"'
_cell_length_a 3.4632
_cell_length_b 3.4632
_cell_length_c 36.7526
_cell_angle_alpha 90.00
_cell_angle_beta 90.00
_cell_angle_gamma 120.00
loop_
_atom_site_label
_atom_site_fract_x
_atom_site_fract_y
_atom_site_fract_z
Ce1 0.0000 0.0000 0.0000
Nd1 0.0000 0.0000 0.0906
Pb1 0.0000 0.0000 0.5000
```

## Properties
**Energy above the lowest structure with this stoichiometry**: 350 meV/atom
**Calculated density**: 8.3 g cm⁻³
**Magnetic moment**: 0.2120 μB per atom



15.
Here is a relaxed CeNd2Pb9 crystal from Alexandria. Energies are from PBE.

```
data_CeNd2Pb9
_space_group_name_H-M_alt 'P 4/m m m'
_space_group_IT_number 123
_space_group_name_Hall '-P 4 2'
_cell_length_a 4.928
_cell_length_b 4.928
_cell_length_c 14.807
_cell_angle_alpha 90.00
_cell_angle_beta 90.00
_cell_angle_gamma 90.00
loop_
_atom_site_label
_atom_site_fract_x
_atom_site_fract_y
_atom_site_fract_z
Ce1 0.000 0.000 0.000
Nd1 0.000 0.000 0.330
Pb1 0.000 0.500 0.165
Pb2 0.000 0.500 0.500
Pb3 0.500 0.500 0.000
Pb4 0.500 0.500 0.333
```

## Properties
**Calculated density**: 10.6 g cm⁻³
**Magnetic moment**: 0.0898 μB per atom
**E**: -4.434 eV per atom



16.
Here is a relaxed CeNd5Pb5 crystal from Alexandria. Energies are from PBE.

```
data_CeNd5Pb5
_space_group_name_H-M_alt 'C 1 2/m 1'
_space_group_IT_number 12
_space_group_name_Hall '-C 2y'
_cell_length_a 14.564
_cell_length_b 6.437
_cell_length_c 8.954
_cell_angle_alpha 90.00
_cell_angle_beta 107.95
_cell_angle_gamma 90.00
loop_
_atom_site_label
_atom_site_fract_x
_atom_site_fract_y
_atom_site_fract_z
Ce1 0.000 0.000 0.000
Nd1 0.000 0.000 0.500
Nd2 0.168 0.500 0.834
Nd3 0.169 0.500 0.334
Pb1 0.000 0.500 0.000
Pb2 0.163 0.000 0.332
Pb3 0.163 0.000 0.831
```

## Properties
**Calculated density**: 7.9 g cm⁻³
**Magnetic moment**: 0.1222 μB per atom
**E**: -4.706 eV per atom



17.
Here is a relaxed Ce4NdPb5 crystal from Alexandria. Energies are from PBE.

```
data_Ce4NdPb5
_space_group_name_H-M_alt 'P 4/m m m'
_space_group_IT_number 123
_space_group_name_Hall '-P 4 2'
_cell_length_a 4.222
_cell_length_b 4.222
_cell_length_c 16.722
_cell_angle_alpha 90.00
_cell_angle_beta 90.00
_cell_angle_gamma 90.00
loop_
_atom_site_label
_atom_site_fract_x
_atom_site_fract_y
_atom_site_fract_z
Ce1 0.000 0.000 0.098
Ce2 0.000 0.000 0.295
Nd1 0.000 0.000 0.500
Pb1 0.500 0.500 0.000
Pb2 0.500 0.500 0.198
Pb3 0.500 0.500 0.398
```

## Properties
**Calculated density**: 9.7 g cm⁻³
**Magnetic moment**: 0.4761 μB per atom
**E**: -5.119 eV per atom



18.
Here is a relaxed CeNd2Pb crystal from Alexandria. Energies are from PBE.

```
data_CeNd2Pb
_space_group_name_H-M_alt 'F m -3 m'
_space_group_IT_number 225
_space_group_name_Hall '-F 4 2 3'
_cell_length_a 7.882
_cell_length_b 7.882
_cell_length_c 7.882
_cell_angle_alpha 90.00
_cell_angle_beta 90.00
_cell_angle_gamma 90.00
loop_
_atom_site_label
_atom_site_fract_x
_atom_site_fract_y
_atom_site_fract_z
Ce1 0.000 0.000 0.000
Nd1 0.250 0.250 0.250
Pb1 0.000 0.000 0.500
```

## Properties
**Energy above the lowest structure with this stoichiometry**: 190 meV/atom
**Calculated density**: 8.6 g cm⁻³
**Magnetic moment**: 0.1425 μB per atom



19.
Here is a relaxed Ce2NdPb crystal from Alexandria. Energies are from PBE.

```
data_Ce2NdPb
_space_group_name_H-M_alt 'P 1 21/m 1'
_space_group_IT_number 11
_space_group_name_Hall '-P 2yb'
_cell_length_a 4.592
_cell_length_b 4.444
_cell_length_c 11.735
_cell_angle_alpha 90.00
_cell_angle_beta 99.44
_cell_angle_gamma 90.00
loop_
_atom_site_label
_atom_site_fract_x
_atom_site_fract_y
_atom_site_fract_z
Ce1 0.004 0.250 0.389
Ce2 0.391 0.750 0.388
Nd1 0.301 0.250 0.112
Pb1 0.181 0.250 0.826
```

## Properties
**Energy above the lowest structure with this stoichiometry**: 0 meV/atom
**Calculated density**: 8.9 g cm⁻³
**Magnetic moment**: 0.0002 μB per atom



20.
Here is a relaxed CeNd5Pb3 crystal from Alexandria. Energies are from PBE.

```
data_CeNd5Pb3
_space_group_name_H-M_alt 'P 63/m c m'
_space_group_IT_number 193
_space_group_name_Hall '-P 6c 2'
_cell_length_a 9.7842
_cell_length_b 9.7842
_cell_length_c 6.7711
_cell_angle_alpha 90.00
_cell_angle_beta 90.00
_cell_angle_gamma 120.00
loop_
_atom_site_label
_atom_site_fract_x
_atom_site_fract_y
_atom_site_fract_z
Ce1 0.0000 0.0000 0.0000
Nd1 0.0000 0.3284 0.2500
Nd2 0.3333 0.6667 0.0000
Pb1 0.0000 0.3364 0.7500
```

## Properties
**Calculated density**: 8.8 g cm⁻³
**Magnetic moment**: 0.4038 μB per atom
**E**: -4.963 eV per atom